No. 1
This record from Alexandria describes a relaxed Ac2VTe crystal. The functional is PBE.

a b c (Å): 4.0186 4.0186 11.1599
angles (deg): 79.63 79.63 60.00
Last column: nearest neighbours and their distance in Å.
Atoms (fractional coordinates):
Te (0.5000, 0.5000, 0.5000)  6 Ac 3.31
V (0.0000, 0.0000, 0.0000)  2 Ac 3.09
Ac (0.9055, 0.9055, 0.2834)  1 V 3.09, 3 Te 3.31
Ac (0.0945, 0.0945, 0.7166)  1 V 3.09, 3 Te 3.31

Summary:
N(E_F): 4.3 states/eV/cell
Formation energy from raw total energies: 0.29 eV per atom


No. 2
This record from Alexandria describes a relaxed TaMnCd2Br crystal. The functional is PBE.

a b c (Å): 5.1479 4.2782 5.1479
angles (deg): 90.00 90.00 90.00
Last column: nearest neighbours and their distance in Å.
Atoms (fractional coordinates):
Ta (0.5000, 0.5000, 0.5000)  8 Cd 3.35, 4 Br 3.64
Cd (0.0000, 0.0000, 0.5000)  2 Mn 2.57
Cd (0.5000, 0.0000, 0.0000)  2 Mn 2.57
Br (0.0000, 0.5000, 0.0000)  2 Mn 2.14
Mn (0.0000, 0.0000, 0.0000)  2 Br 2.14

Summary:
N(E_F): 13.6 states/eV/cell
Formation energy from raw total energies: 1.46 eV per atom


No. 3
This record from Alexandria describes a relaxed Er2PuScBi4 crystal. The functional is PBE.

a b c (Å): 4.4340 7.6628 7.6749
angles (deg): 109.39 90.00 90.00
Last column: nearest neighbours and their distance in Å.
Atoms (fractional coordinates):
Er (0.0000, 0.5000, 0.5000)  6 Bi 3.18-3.19
Er (0.5000, 0.0000, 0.5000)  6 Bi 3.11
Bi (0.5000, 0.2402, 0.2436)  2 Sc 3.08, 3 Er 3.11-3.19, 1 Pu 3.15
Bi (0.5000, 0.7598, 0.7564)  2 Sc 3.08, 3 Er 3.11-3.19, 1 Pu 3.15
Bi (0.0000, 0.2423, 0.7506)  1 Sc 3.08, 3 Er 3.11-3.18, 2 Pu 3.16
Bi (0.0000, 0.7577, 0.2494)  1 Sc 3.08, 3 Er 3.11-3.18, 2 Pu 3.16
Sc (0.0000, 0.0000, 0.0000)  6 Bi 3.08
Pu (0.5000, 0.5000, 0.0000)  6 Bi 3.15-3.16

Summary:
E_form: -0.63 eV per atom
N(E_F): 17.3 states/eV/cell


No. 4
This record from Alexandria describes a relaxed GaCu4Au7 crystal. The functional is PBE.

a b c (Å): 4.7633 8.0375 6.2798
angles (deg): 81.04 67.71 72.76
Last column: nearest neighbours and their distance in Å.
Atoms (fractional coordinates):
Cu (0.2906, 0.3376, 0.0812)  8 Au 2.65-2.80, 1 Cu 2.75
Cu (0.4313, 0.7777, 0.3598)  8 Au 2.58-2.76, 1 Cu 2.75
Cu (0.7094, 0.6624, 0.9188)  8 Au 2.65-2.80, 1 Cu 2.75
Cu (0.5687, 0.2223, 0.6402)  8 Au 2.58-2.76, 1 Cu 2.75
Au (0.3574, 0.5659, 0.7194)  5 Cu 2.58-2.77, 2 Au 2.79
Au (0.9224, 0.3276, 0.8275)  5 Cu 2.65-2.80, 1 Ga 2.66, 2 Au 2.76-2.79
Au (0.5000, 0.0000, 0.0000)  2 Ga 2.38, 4 Cu 2.63-2.66
Au (0.2138, 0.1199, 0.4525)  4 Cu 2.66-2.75, 2 Au 2.76-2.83
Au (0.7862, 0.8801, 0.5475)  4 Cu 2.66-2.75, 2 Au 2.76-2.83
Au (0.0776, 0.6724, 0.1725)  5 Cu 2.65-2.80, 1 Ga 2.66, 2 Au 2.76-2.79
Au (0.6426, 0.4341, 0.2806)  5 Cu 2.58-2.77, 2 Au 2.79
Ga (0.0000, 0.0000, 0.0000)  4 Au 2.38-2.66

Summary:
E_form: 0.07 eV per atom
N(E_F): 4.0 states/eV/cell


No. 5
This record from Alexandria describes a relaxed K2RbLaGe crystal. The functional is PBE.

a b c (Å): 6.8991 5.8693 6.8991
angles (deg): 90.00 90.00 90.00
Last column: nearest neighbours and their distance in Å.
Atoms (fractional coordinates):
Rb (0.5000, 0.5000, 0.5000)  8 K 4.53, 4 La 4.88
K (0.0000, 0.0000, 0.5000)  2 Ge 3.45
K (0.5000, 0.0000, 0.0000)  2 Ge 3.45
Ge (0.0000, 0.0000, 0.0000)  2 La 2.93
La (0.0000, 0.5000, 0.0000)  2 Ge 2.93

Summary:
E_form: 0.08 eV per atom
N(E_F): 3.9 states/eV/cell


No. 6
This record from Alexandria describes a relaxed Zr2CdPb crystal. The functional is PBE.

a b c (Å): 8.0070 8.0070 6.4440
angles (deg): 51.59 51.59 90.00
Last column: nearest neighbours and their distance in Å.
Atoms (fractional coordinates):
Pb (0.0000, 0.0000, 0.0000)  4 Zr 2.94, 2 Cd 3.08
Pb (0.7500, 0.2500, 0.5000)  4 Zr 2.94, 2 Cd 3.08
Zr (0.3750, 0.3763, 0.7500)  2 Cd 2.93, 2 Pb 2.94, 2 Zr 3.08
Zr (0.1263, 0.6250, 0.2500)  2 Cd 2.93, 2 Pb 2.94, 2 Zr 3.08
Zr (0.6237, 0.1250, 0.2500)  2 Cd 2.93, 2 Pb 2.94, 2 Zr 3.08
Zr (0.8750, 0.8737, 0.7500)  2 Cd 2.93, 2 Pb 2.94, 2 Zr 3.08
Cd (0.2500, 0.7500, 0.5000)  4 Zr 2.93, 2 Pb 3.08
Cd (0.5000, 0.5000, 0.0000)  4 Zr 2.93, 2 Pb 3.08

Summary:
E_form: 0.16 eV per atom
N(E_F): 8.6 states/eV/cell


Number 1: calculated density 6.9 Mg/m³, V 38.17 Å³/atom. Number 2: calculated density 7.9 Mg/m³, V 22.68 Å³/atom. Number 3: calculated density 9.9 Mg/m³, V 30.75 Å³/atom. Number 4: calculated density 13.3 Mg/m³, V 17.68 Å³/atom. Number 5: calculated density 2.2 Mg/m³, V 55.87 Å³/atom. Number 6: calculated density 8.5 Mg/m³, V 24.66 Å³/atom.